1.
CdNiO2 | PBE with a Hubbard U | relaxed

N(E_F)	0.02	states/eV/f.u.
VASP energy	-4.34	eV/atom
volume	11.41	Å³/atom

extended XYZ file:
```
4
Lattice="1.5829 0.9139 5.2594 -1.5829 0.9139 5.2594 0.0000 -1.8278 5.2594" Properties=species:S:1:pos:R:3 pbc="T T T"
Cd 0.0000 0.0000 0.0000
Ni 0.0000 0.0000 7.8891
O 0.0000 0.0000 3.7655
O 0.0000 0.0000 12.0127
```

2.
CdNiO2 | PBE with a Hubbard U | relaxed

N(E_F)	0.01	states/eV/f.u.
VASP energy	-4.23	eV/atom
volume	14.18	Å³/atom

extended XYZ file:
```
8
Lattice="-2.3402 2.3402 5.1777 2.3402 -2.3402 5.1777 2.3402 2.3402 -5.1777" Properties=species:S:1:pos:R:3 pbc="T T T"
Cd 0.0000 0.0000 0.0000
Cd 0.0000 2.3402 2.5888
Ni 2.3402 0.0000 2.5888
Ni 0.0000 0.0000 5.1777
O 1.1701 -0.9504 3.8833
O 1.3897 1.1701 1.2944
O 1.1701 3.2906 -1.2944
O 0.9504 1.1701 6.4721
```

3.
CdNiO3 | PBE with a Hubbard U | relaxed

N(E_F)	8.59	states/eV/f.u.
VASP energy	-2.96	eV/atom
volume	13.28	Å³/atom

extended XYZ file:
```
5
Lattice="4.0496 0.0000 0.0000 0.0000 4.0496 0.0000 0.0000 0.0000 4.0496" Properties=species:S:1:pos:R:3 pbc="T T T"
Cd 0.0000 0.0000 0.0000
Ni 2.0248 2.0248 2.0248
O 0.0000 0.0000 2.0248
O 0.0000 2.0248 0.0000
O 2.0248 0.0000 0.0000
```

4.
CdNiO3 | PBE with a Hubbard U | relaxed

N(E_F)	2.44	states/eV/f.u.
VASP energy	-4.08	eV/atom
volume	10.50	Å³/atom

extended XYZ file:
```
5
Lattice="3.7446 0.0000 0.0000 0.0000 3.7446 0.0000 0.0000 0.0000 3.7446" Properties=species:S:1:pos:R:3 pbc="T T T"
Cd 0.0000 0.0000 0.0000
Ni 1.8723 1.8723 1.8723
O 0.0000 1.8723 1.8723
O 1.8723 0.0000 1.8723
O 1.8723 1.8723 0.0000
```

5.
CdNiO2 | PBE with a Hubbard U | relaxed

N(E_F)	0.27	states/eV/f.u.
VASP energy	-4.28	eV/atom
volume	11.43	Å³/atom

extended XYZ file:
```
4
Lattice="1.5582 0.8996 5.4350 -1.5582 0.8996 5.4350 0.0000 -1.7992 5.4350" Properties=species:S:1:pos:R:3 pbc="T T T"
Cd 0.0000 0.0000 0.0000
Ni 0.0000 0.0000 2.7538
O 0.0000 0.0000 9.3430
O 0.0000 0.0000 12.4530
```

6.
CdNiO2 | PBE with a Hubbard U | relaxed

N(E_F)	0.00	states/eV/f.u.
VASP energy	-4.05	eV/atom
volume	14.79	Å³/atom

extended XYZ file:
```
4
Lattice="1.7029 0.9832 5.8875 -1.7029 0.9832 5.8875 0.0000 -1.9664 5.8875" Properties=species:S:1:pos:R:3 pbc="T T T"
Cd 0.0000 0.0000 0.0000
Ni 0.0000 0.0000 8.8312
O 0.0000 0.0000 7.0920
O 0.0000 0.0000 10.5705
```

7.
CdNiO2 | PBE with a Hubbard U | relaxed

N(E_F)	0.00	states/eV/f.u.
VASP energy	-4.11	eV/atom
volume	12.74	Å³/atom

extended XYZ file:
```
4
Lattice="1.5601 0.9007 6.0442 -1.5601 0.9007 6.0442 0.0000 -1.8015 6.0442" Properties=species:S:1:pos:R:3 pbc="T T T"
Cd 0.0000 0.0000 0.0000
Ni 0.0000 0.0000 9.0663
O 0.0000 0.0000 1.9937
O 0.0000 0.0000 16.1390
```

8.
CdNi2O4 | PBE with a Hubbard U | relaxed

N(E_F)	0.06	states/eV/f.u.
VASP energy	-4.53	eV/atom
volume	11.43	Å³/atom

extended XYZ file:
```
14
Lattice="-2.9123 2.9123 4.7164 2.9123 -2.9123 4.7164 2.9123 2.9123 -4.7164" Properties=species:S:1:pos:R:3 pbc="T T T"
Cd 2.9123 1.4561 1.1791
Cd 0.0000 1.4561 3.5373
Ni 0.0000 0.0000 0.0000
Ni 1.4561 1.4561 -2.3582
Ni 1.4561 -1.4561 2.3582
Ni 0.0000 2.9123 0.0000
O 2.9123 2.7008 -2.5558
O 1.2447 1.4561 -0.1976
O 1.6676 -1.4561 4.5189
O 2.9123 -0.2115 2.5558
O 0.0000 3.1238 2.1606
O 1.2447 4.3684 0.1976
O 1.6676 1.4561 4.9140
O 0.0000 0.2115 7.2723
```

9.
CdNi3O | PBE with a Hubbard U | relaxed

N(E_F)	2.93	states/eV/f.u.
VASP energy	-1.12	eV/atom
volume	21.44	Å³/atom

extended XYZ file:
```
5
Lattice="4.7501 0.0000 0.0000 0.0000 4.7501 0.0000 0.0000 0.0000 4.7501" Properties=species:S:1:pos:R:3 pbc="T T T"
Cd 0.0000 0.0000 0.0000
Ni 0.0000 0.0000 2.3751
Ni 0.0000 2.3751 0.0000
Ni 2.3751 0.0000 0.0000
O 2.3751 2.3751 2.3751
```

10.
CdNiO2 | PBE with a Hubbard U | relaxed

N(E_F)	0.90	states/eV/f.u.
VASP energy	-4.22	eV/atom
volume	11.81	Å³/atom

extended XYZ file:
```
4
Lattice="3.2192 0.0000 0.0000 0.0000 3.2192 0.0000 0.0000 0.0000 4.5584" Properties=species:S:1:pos:R:3 pbc="T T T"
Cd 0.0000 0.0000 0.0000
Ni 1.6096 1.6096 2.2792
O 0.0000 0.0000 2.2792
O 1.6096 1.6096 0.0000
```

11.
Cd2NiO3 | PBE with a Hubbard U | relaxed

N(E_F)	1.11	states/eV/f.u.
VASP energy	-4.17	eV/atom
volume	12.25	Å³/atom

extended XYZ file:
```
6
Lattice="-1.6101 2.3209 4.9182 1.6101 -2.3209 4.9182 1.6101 2.3209 -4.9182" Properties=species:S:1:pos:R:3 pbc="T T T"
Cd 0.0000 0.0000 1.6511
Cd 0.0000 0.0000 8.1852
Ni 0.0000 0.0000 4.9182
O 1.6101 0.0000 0.0000
O 1.6101 0.0000 3.4821
O 0.0000 2.3209 1.4361
```

12.
CdNiOs2O8 | PBE with a Hubbard U | relaxed

N(E_F)	7.28	states/eV/f.u.
VASP energy	-6.26	eV/atom
volume	15.50	Å³/atom

extended XYZ file:
```
12
Lattice="5.7972 0.0000 0.0000 -2.8986 5.0205 0.0000 0.0000 0.0000 6.3905" Properties=species:S:1:pos:R:3 pbc="T T T"
Cd 0.0000 0.0000 0.0000
Ni 0.0000 0.0000 3.1952
Os 0.0000 3.3470 4.8674
Os 2.8986 1.6735 1.5231
O 0.0000 1.5747 4.5222
O -1.5349 4.2332 4.5222
O 1.3637 0.7873 1.8683
O 0.0000 3.3470 0.2598
O 2.8986 1.6735 6.1307
O 1.5349 4.2332 4.5222
O 4.4335 0.7873 1.8683
O 2.8986 3.4458 1.8683
```

13.
CdNiPO4 | PBE with a Hubbard U | relaxed

N(E_F)	2.75	states/eV/f.u.
VASP energy	-5.56	eV/atom
volume	12.20	Å³/atom

extended XYZ file:
```
14
Lattice="2.9516 -4.3113 0.0000 2.9516 4.3113 0.0000 0.0000 0.0000 6.7100" Properties=species:S:1:pos:R:3 pbc="T T T"
Cd 2.9516 2.7055 5.0325
Cd 2.9516 -2.7055 1.6775
Ni 2.9516 0.0000 0.0000
Ni 2.9516 0.0000 3.3550
P 2.9516 2.9482 1.6775
P 2.9516 -2.9482 5.0325
O 1.2625 0.4403 5.0325
O 1.2625 -0.4403 1.6775
O 2.9516 2.0154 0.4282
O 2.9516 2.0154 2.9268
O 2.9516 -2.0154 3.7832
O 2.9516 -2.0154 6.2818
O 4.6408 0.4403 5.0325
O 4.6408 -0.4403 1.6775
```

14.
PaCdNiO4 | PBE with a Hubbard U | relaxed

N(E_F)	2.04	states/eV/f.u.
VASP energy	-6.74	eV/atom
volume	14.63	Å³/atom

extended XYZ file:
```
14
Lattice="-3.0835 3.6408 4.5621 3.0835 -3.6408 4.5621 3.0835 3.6408 -4.5621" Properties=species:S:1:pos:R:3 pbc="T T T"
Pa 0.0000 0.0000 0.0000
Pa 0.0000 3.6408 0.0000
Cd 3.0835 1.8204 1.4830
Cd 0.0000 1.8204 3.0791
Ni 1.5418 1.8204 -2.2810
Ni 1.5418 -1.8204 2.2810
O 3.0835 3.2407 -2.4638
O 3.0835 -0.4001 2.4638
O 1.3737 1.8204 -0.0698
O 1.7098 -1.8204 4.4923
O 1.3737 5.4612 0.0698
O 1.7098 1.8204 4.6319
O 0.0000 4.0409 2.0983
O 0.0000 0.4001 7.0259
```

15.
Pa2CdNiO8 | PBE with a Hubbard U | relaxed

N(E_F)	0.00	states/eV/f.u.
VASP energy	-7.23	eV/atom
volume	12.26	Å³/atom

extended XYZ file:
```
12
Lattice="5.1506 0.0000 0.0000 -2.5753 4.4606 0.0000 0.0000 0.0000 6.4028" Properties=species:S:1:pos:R:3 pbc="T T T"
Pa 0.0000 2.9737 2.2370
Pa 2.5753 1.4869 4.1658
Cd 0.0000 0.0000 0.0000
Ni 0.0000 0.0000 3.2014
O 0.0000 1.4947 4.2563
O -1.2809 3.7132 4.2563
O 0.0000 2.9737 0.3581
O 1.2944 0.7473 2.1465
O 1.2809 3.7132 4.2563
O 2.5753 1.4869 6.0447
O 3.8562 0.7473 2.1465
O 2.5753 2.9659 2.1465
```

16.
PaCd4NiO8 | PBE with a Hubbard U | relaxed

N(E_F)	8.61	states/eV/f.u.
VASP energy	-5.39	eV/atom
volume	14.66	Å³/atom

extended XYZ file:
```
14
Lattice="3.2826 1.8952 5.4971 -3.2826 1.8952 5.4971 0.0000 -3.7904 5.4971" Properties=species:S:1:pos:R:3 pbc="T T T"
Pa 0.0000 0.0000 0.0000
Cd -1.5984 -0.9229 7.6738
Cd 0.0000 0.0000 4.2545
Cd 1.5984 -0.9229 7.6738
Cd 0.0000 1.8457 7.6738
Ni 0.0000 0.0000 10.3619
O -1.5810 -0.9128 11.6938
O 0.0000 0.0000 6.4259
O 0.0000 -1.6791 9.1660
O -1.4542 0.8396 9.1660
O 1.4542 0.8396 9.1660
O 1.5810 -0.9128 11.6938
O 0.0000 1.8256 11.6938
O 0.0000 0.0000 14.4045
```

17.
CdNiPbO4 | PBE with a Hubbard U | relaxed

N(E_F)	0.53	states/eV/f.u.
VASP energy	-4.87	eV/atom
volume	13.81	Å³/atom

extended XYZ file:
```
14
Lattice="-3.1944 3.3460 4.5228 3.1944 -3.3460 4.5228 3.1944 3.3460 -4.5228" Properties=species:S:1:pos:R:3 pbc="T T T"
Cd 0.0000 1.6730 1.2636
Cd 3.1944 1.6730 3.2592
Ni 1.5972 1.6730 -2.2614
Ni 1.5972 -1.6730 2.2614
Pb 3.1944 0.0000 0.0000
Pb 0.0000 0.0000 4.5228
O 3.1944 -0.2522 2.1564
O 3.1944 3.0938 -2.1564
O 1.7137 1.6730 -0.1381
O 4.6750 1.6730 -0.1381
O -1.4807 1.6730 4.6609
O 1.4807 1.6730 4.6609
O 0.0000 0.2522 6.6792
O 0.0000 3.5982 2.3664
```

18.
Cd2NiPbO4 | PBE with a Hubbard U | relaxed

VASP energy	-4.35	eV/atom
volume	14.08	Å³/atom

extended XYZ file:
```
8
Lattice="5.9636 0.0000 0.0000 0.0000 3.3100 0.0000 -1.9483 0.0000 5.7051" Properties=species:S:1:pos:R:3 pbc="T T T"
Cd 0.0000 0.0000 0.0000
Cd 2.9818 1.6550 0.0000
Ni -0.9742 1.6550 2.8526
Pb 2.0077 0.0000 2.8526
O -0.2352 0.0000 4.0251
O 1.1240 1.6550 1.1835
O 2.8913 1.6550 4.5216
O 4.2505 0.0000 1.6800
```

19.
CdNiPdO4 | PBE with a Hubbard U | relaxed

N(E_F)	0.56	states/eV/f.u.
VASP energy	-4.88	eV/atom
volume	12.42	Å³/atom

extended XYZ file:
```
14
Lattice="-3.0631 3.1490 4.5057 3.0631 -3.1490 4.5057 3.0631 3.1490 -4.5057" Properties=species:S:1:pos:R:3 pbc="T T T"
Cd 0.0000 1.5745 1.3000
Cd 3.0631 1.5745 3.2057
Ni 1.5315 1.5745 -2.2529
Ni 1.5315 -1.5745 2.2529
Pd 3.0631 0.0000 0.0000
Pd 0.0000 0.0000 4.5057
O 3.0631 -0.2221 2.0300
O 1.7439 1.5745 -0.1068
O 4.3823 1.5745 -0.1068
O 3.0631 2.9268 -2.0300
O 0.0000 0.2221 6.5357
O -1.3192 1.5745 4.6125
O 1.3192 1.5745 4.6125
O 0.0000 3.3711 2.4757
```

20.
CdNiPt2O8 | PBE with a Hubbard U | relaxed

VASP energy	-4.70	eV/atom
volume	12.34	Å³/atom

extended XYZ file:
```
12
Lattice="5.4737 0.0000 0.0000 -2.7368 4.7404 0.0000 0.0000 0.0000 5.7062" Properties=species:S:1:pos:R:3 pbc="T T T"
Cd 0.0000 0.0000 0.0000
Ni 0.0000 0.0000 2.8531
Pt 0.0000 3.1602 2.5521
Pt 2.7368 1.5801 3.1541
O -0.6962 1.7155 3.7534
O -0.9031 4.4855 3.7534
O 0.0000 3.1602 0.6510
O 1.1376 1.4606 1.9528
O 1.5993 3.2797 3.7534
O 2.7368 1.5801 5.0552
O 3.6400 0.2548 1.9528
O 3.4330 3.0249 1.9528
```

21.
Cd2NiPtO6 | PBE with a Hubbard U | relaxed

N(E_F)	7.01	states/eV/f.u.
VASP energy	-4.72	eV/atom
volume	11.72	Å³/atom

extended XYZ file:
```
20
Lattice="5.4447 0.0000 0.0000 0.0000 5.5316 0.0000 -5.4222 0.0000 7.7844" Properties=species:S:1:pos:R:3 pbc="T T T"
Cd -0.0532 0.2818 1.9273
Cd -2.7643 2.4840 5.8195
Cd 2.7868 3.0476 1.9649
Cd 0.0757 5.2498 5.8571
Ni -2.7111 0.0000 3.8922
Ni 0.0000 2.7658 0.0000
Pt 2.7223 0.0000 0.0000
Pt 0.0113 2.7658 3.8922
O -4.3221 1.0712 7.3570
O -1.6110 1.6946 3.4648
O -3.7318 3.9001 7.3078
O -1.0207 4.3973 3.4156
O -2.1146 0.2539 5.8875
O 0.5965 2.5119 1.9953
O -0.5740 3.0197 5.7891
O 2.1371 5.2777 1.8969
O 1.0432 1.1343 4.3688
O 3.7543 1.6315 0.4766
O 1.6335 3.8370 4.3196
O 4.3446 4.4604 0.4274
```

22.
PuCd2NiO6 | PBE with a Hubbard U | relaxed

N(E_F)	3.15	states/eV/f.u.
VASP energy	-6.40	eV/atom
volume	13.72	Å³/atom

extended XYZ file:
```
10
Lattice="5.3139 0.0000 0.0000 -0.0170 5.6622 0.0000 -2.4271 -2.8355 4.5588" Properties=species:S:1:pos:R:3 pbc="T T T"
Pu 0.0000 0.0000 0.0000
Cd 0.4546 2.8296 2.3059
Cd 2.4152 -0.0028 2.2529
Ni 2.6485 2.8311 0.0000
O -0.7500 -0.0024 1.7764
O 1.4080 4.1692 0.7054
O 1.4217 1.4898 0.7133
O 1.4481 1.3369 3.8455
O 1.4618 -1.3425 3.8534
O 3.6198 2.8291 2.7823
```